[1]
VASP calculation (PBE-GGA) on a geometry-optimized CsNaIn11 structure.

Energy of formation   -0.037 eV per atom

abc: 6.460 15.553 8.246
angles: 90.00 112.12 90.00
Space group C2/m (No. 12)
One atom of each set of equivalent atoms:
Cs: 0.000 0.000 0.000 [2 per cell]
Na: 0.000 0.500 0.500 [2 per cell]
In: 0.000 0.000 0.500 [2 per cell]
In: 0.112 0.388 0.221 [8 per cell]
In: 0.191 0.178 0.360 [8 per cell]
In: 0.250 0.250 0.000 [4 per cell]

---

[2]
VASP calculation (PBE-GGA) on a geometry-optimized Sc6GeTe3Se2 structure.

Formation energy (no corrections)   -1.2862 eV/atom

abc: 6.925 11.987 7.079
angles: 90.00 109.00 90.00
Space group C2/m (No. 12)
One atom of each set of equivalent atoms:
Sc: 0.234 0.162 0.215 [8 per cell]
Sc: 0.248 0.500 0.216 [4 per cell]
Ge: 0.000 0.000 0.000 [2 per cell]
Te: 0.000 0.169 0.500 [4 per cell]
Te: 0.000 0.500 0.500 [2 per cell]
Se: 0.000 0.334 0.000 [4 per cell]

---

[3]
VASP calculation (PBE-GGA) on a geometry-optimized LuTcSn structure.

Energy above the lowest structure with this stoichiometry   178.4 meV/atom
Energy of formation   -0.119 eV per atom

abc: 4.6040 4.6040 3.5106
angles: 90.00 90.00 120.00
Space group P-6m2 (No. 187)
One atom of each set of equivalent atoms:
Lu: 0.0000 0.0000 0.0000 [1 per cell]
Tc: 0.3333 0.6667 0.5000 [1 per cell]
Sn: 0.6667 0.3333 0.5000 [1 per cell]

---

[4]
VASP calculation (PBE-GGA) on a geometry-optimized Al2TcMo structure.

Energy above the lowest structure with this stoichiometry   280.6 meV/atom
Energy of formation   -0.080 eV per atom

abc: 2.825 3.963 5.363
angles: 90.00 90.00 90.00
Space group Pmmm (No. 47)
One atom of each set of equivalent atoms:
Al: 0.000 0.000 0.245 [2 per cell]
Tc: 0.500 0.500 0.000 [1 per cell]
Mo: 0.500 0.500 0.500 [1 per cell]

---

[5]
VASP calculation (PBE-GGA) on a geometry-optimized LiPb3O6 structure.

Formation energy (no corrections)   -1.0324 eV/atom

abc: 5.7161 5.7161 15.3845
angles: 90.00 90.00 120.00
Space group R3 (No. 146, hexagonal axes)
One atom of each set of equivalent atoms:
Li: 0.0000 0.0000 0.0000 [3 per cell]
Pb: 0.0000 0.0000 0.2727 [3 per cell]
Pb: 0.0000 0.0000 0.4827 [3 per cell]
Pb: 0.0000 0.0000 0.7754 [3 per cell]
O: 0.0034 0.2973 0.3821 [9 per cell]
O: 0.0397 0.6761 0.5435 [9 per cell]

---

[6]
VASP calculation (PBE-GGA) on a geometry-optimized LaTh2UC4 structure.

Energy of formation   -0.104 eV per atom

abc: 6.395 3.741 6.444
angles: 90.00 108.97 90.00
Space group P2/m (No. 10)
One atom of each set of equivalent atoms:
La: 0.000 0.000 0.000 [1 per cell]
Th: 0.500 0.000 0.500 [1 per cell]
Th: 0.500 0.500 0.000 [1 per cell]
U: 0.000 0.500 0.500 [1 per cell]
C: 0.228 0.500 0.292 [2 per cell]
C: 0.240 0.000 0.729 [2 per cell]

---

[7]
VASP calculation (PBE-GGA) on a geometry-optimized Rb2TcPBr6 structure.

Formation energy (no corrections)   -0.6337 eV/atom

abc: 7.505 7.505 11.634
angles: 90.00 90.00 90.00
Space group I4/mmm (No. 139)
One atom of each set of equivalent atoms:
Rb: 0.000 0.500 0.250 [4 per cell]
Tc: 0.000 0.000 0.000 [2 per cell]
P: 0.000 0.000 0.500 [2 per cell]
Br: 0.000 0.000 0.223 [4 per cell]
Br: 0.249 0.249 0.500 [8 per cell]

---

[8]
VASP calculation (PBE-GGA) on a geometry-optimized CsTlF3 structure.

Formation energy (no corrections)   -2.2182 eV/atom

abc: 11.638 6.696 6.935
angles: 90.00 93.29 90.00
Space group C2/m (No. 12)
One atom of each set of equivalent atoms:
Cs: 0.172 0.000 0.143 [4 per cell]
Tl: 0.000 0.500 0.000 [2 per cell]
Tl: 0.000 0.500 0.500 [2 per cell]
F: 0.076 0.270 0.818 [8 per cell]
F: 0.154 0.500 0.199 [4 per cell]

---

[9]
VASP calculation (PBE-GGA) on a geometry-optimized TlGaO2 structure.

Energy above the lowest structure with this stoichiometry   149.0 meV/atom
Formation energy (no corrections)   -1.2565 eV/atom

abc: 5.9398 5.9398 14.5725
angles: 90.00 90.00 120.00
Space group R-3m (No. 166, hexagonal axes)
One atom of each set of equivalent atoms:
Tl: 0.0000 0.0000 0.1233 [6 per cell]
Ga: 0.0000 0.0000 0.3751 [6 per cell]
O: 0.0000 0.0000 0.5000 [3 per cell]
O: 0.0000 0.5000 0.0000 [9 per cell]

---

[10]
VASP calculation (PBE-GGA) on a geometry-optimized CsNa3Tl3 structure.

Energy of formation   0.164 eV per atom

abc: 8.683 8.683 8.683
angles: 90.00 90.00 90.00
Space group Pm-3n (No. 223)
One atom of each set of equivalent atoms:
Cs: 0.000 0.000 0.000 [2 per cell]
Na: 0.000 0.250 0.500 [6 per cell]
Tl: 0.000 0.500 0.250 [6 per cell]

---

[11]
VASP calculation (PBE-GGA) on a geometry-optimized DyHo2Tm3Bi6 structure.

Energy of formation   -0.813 eV per atom

abc: 19.374 4.445 8.893
angles: 90.00 103.19 90.00
Space group C2/m (No. 12)
One atom of each set of equivalent atoms:
Dy: 0.000 0.000 0.000 [2 per cell]
Ho: 0.167 0.500 0.333 [4 per cell]
Tm: 0.000 0.000 0.500 [2 per cell]
Tm: 0.167 0.500 0.833 [4 per cell]
Bi: 0.000 0.500 0.252 [4 per cell]
Bi: 0.166 0.000 0.584 [4 per cell]
Bi: 0.167 0.000 0.082 [4 per cell]

---

[12]
VASP calculation (PBE-GGA) on a geometry-optimized TlTeI2O structure.

Energy above the lowest structure with this stoichiometry   448.3 meV/atom
Formation energy (no corrections)   0.0309 eV/atom

abc: 5.470 5.470 4.671
angles: 90.00 90.00 90.00
Space group P4/mmm (No. 123)
One atom of each set of equivalent atoms:
Tl: 0.000 0.000 0.000 [1 per cell]
Te: 0.500 0.500 0.000 [1 per cell]
I: 0.000 0.500 0.500 [2 per cell]
O: 0.500 0.500 0.500 [1 per cell]

---

[13]
VASP calculation (PBE-GGA) on a geometry-optimized AgS6Cl2 structure.

Formation energy (no corrections)   -0.0266 eV/atom

abc: 13.082 9.006 10.218
angles: 90.00 116.70 90.00
Space group C2/c (No. 15)
One atom of each set of equivalent atoms:
Ag: 0.000 0.142 0.250 [4 per cell]
S: 0.018 0.346 0.854 [8 per cell]
S: 0.147 0.050 0.784 [8 per cell]
S: 0.147 0.160 0.947 [8 per cell]
Cl: 0.129 0.315 0.218 [8 per cell]

---

[14]
VASP calculation (PBE-GGA) on a geometry-optimized Ba2NaSn2 structure.

Energy above the lowest structure with this stoichiometry   321.6 meV/atom
Energy of formation   -0.193 eV per atom

abc: 4.514 4.514 21.809
angles: 90.00 90.00 90.00
Space group I4/mmm (No. 139)
One atom of each set of equivalent atoms:
Ba: 0.000 0.000 0.123 [4 per cell]
Na: 0.000 0.000 0.500 [2 per cell]
Sn: 0.000 0.500 0.250 [4 per cell]

---

[15]
VASP calculation (PBE-GGA) on a geometry-optimized KBeFe2 structure.

Energy of formation   0.638 eV per atom

abc: 7.758 2.768 6.864
angles: 90.00 96.85 90.00
Space group Cm (No. 8)
One atom of each set of equivalent atoms:
K: 0.000 0.000 0.000 [2 per cell]
Be: 0.239 0.000 0.620 [2 per cell]
Fe: 0.015 0.500 0.520 [2 per cell]
Fe: 0.284 0.500 0.377 [2 per cell]

---

[16]
VASP calculation (PBE-GGA) on a geometry-optimized NiTe2Pd3 structure.

Formation energy (no corrections)   -0.2280 eV/atom

abc: 6.084 12.589 5.767
angles: 90.00 90.00 90.00
Space group Ibam (No. 72)
One atom of each set of equivalent atoms:
Ni: 0.000 0.000 0.250 [4 per cell]
Te: 0.232 0.137 0.000 [8 per cell]
Pd: 0.000 0.500 0.250 [4 per cell]
Pd: 0.221 0.146 0.500 [8 per cell]

---

[17]
VASP calculation (PBE-GGA) on a geometry-optimized Ti2Ge structure.

Energy of formation   0.234 eV per atom

abc: 6.210 6.210 6.210
angles: 90.00 90.00 90.00
Space group F-43m (No. 216)
One atom of each set of equivalent atoms:
Ti: 0.000 0.000 0.000 [4 per cell]
Ti: 0.250 0.250 0.250 [4 per cell]
Ge: 0.250 0.250 0.750 [4 per cell]

---

[18]
VASP calculation (PBE-GGA) on a geometry-optimized Pr2PuZr structure.

Energy of formation   0.330 eV per atom

abc: 3.4259 3.4259 36.3792
angles: 90.00 90.00 120.00
Space group R-3m (No. 166, hexagonal axes)
One atom of each set of equivalent atoms:
Pr: 0.0000 0.0000 0.0915 [6 per cell]
Pu: 0.0000 0.0000 0.0000 [3 per cell]
Zr: 0.0000 0.0000 0.5000 [3 per cell]

---

[19]
VASP calculation (PBE-GGA) on a geometry-optimized Sc2Cu2Ni structure.

Energy of formation   -0.277 eV per atom

abc: 3.677 5.877 7.490
angles: 90.00 90.00 90.00
Space group Immm (No. 71)
One atom of each set of equivalent atoms:
Sc: 0.000 0.000 0.225 [4 per cell]
Cu: 0.000 0.293 0.500 [4 per cell]
Ni: 0.000 0.500 0.000 [2 per cell]

---

[20]
VASP calculation (PBE-GGA) on a geometry-optimized LiTc2Ni structure.

Energy above the lowest structure with this stoichiometry   82.2 meV/atom
Energy of formation   0.192 eV per atom

abc: 3.545 3.545 4.136
angles: 90.00 90.00 90.00
Space group P4/mmm (No. 123)
One atom of each set of equivalent atoms:
Li: 0.000 0.000 0.000 [1 per cell]
Tc: 0.000 0.500 0.500 [2 per cell]
Ni: 0.500 0.500 0.000 [1 per cell]